(1)
GGA-PBE Nd8Tl2Zn, optimized geometry; volume = 348 Å³/cell; DOS(E_F) = 12.2 states/eV/f.u.; ΔE to the lowest computed polymorph = 0 meV per atom; energy relative to the elements = -2.0 eV per formula unit; DFT total energy = -46.2 eV per formula unit; crystal system = monoclinic
1.0
-0.8075 2.4563 -4.7988
-1.5952 -6.0551 -2.8309
-8.4291 0.4896 4.7649
Nd Tl Zn
8 2 1
Direct
0.4104 0.5922 0.8208
0.6644 0.9084 0.3287
0.7897 0.3963 0.5794
0.0289 0.7683 0.0577
0.2103 0.6037 0.4206
0.3356 0.0916 0.6713
0.5896 0.4078 0.1792
0.9711 0.2317 0.9423
0.8426 0.8471 0.6852
0.1574 0.1529 0.3148
0.5000 0.0000 0.0000


(2)
GGA-PBE NdTl2Zn, optimized geometry; volume = 102 Å³/cell; DOS(E_F) = 2.5 states/eV/f.u.; energy relative to the elements = -1.0 eV per formula unit; DFT total energy = -11.7 eV per formula unit; crystal system = tetragonal
1.0
4.6582 0.0000 0.0000
0.0000 4.6898 0.0000
0.0000 0.0000 4.6898
Tl Nd Zn
2 1 1
Direct
0.0000 0.0000 0.5000
0.0000 0.5000 0.0000
0.5000 0.0000 0.0000
0.5000 0.5000 0.5000


(3)
GGA-PBE NdTlZn, optimized geometry; volume = 152 Å³/cell; DOS(E_F) = 1.4 states/eV/f.u.; energy relative to the elements = -1.0 eV per formula unit; DFT total energy = -9.4 eV per formula unit; crystal system = orthorhombic
1.0
4.4050 0.0070 1.8043
2.3850 5.6416 0.4251
0.0537 -0.0905 6.1389
Nd Tl Zn
2 2 2
Direct
0.2352 0.8164 0.8164
0.7342 0.3180 0.3180
0.0102 0.3621 0.7217
0.0102 0.7217 0.3621
0.4434 0.9527 0.2645
0.4434 0.2645 0.9527


(4)
GGA-PBE Nd4TlZn, optimized geometry; volume = 183 Å³/cell; DOS(E_F) = 7.6 states/eV/f.u.; ΔE to the lowest computed polymorph = 0 meV per atom; energy relative to the elements = -1.2 eV per formula unit; DFT total energy = -23.9 eV per formula unit; crystal system = tetragonal
1.0
-0.7289 3.6642 0.1244
-3.4930 -0.6555 -1.1586
-3.8996 -1.1952 12.4258
Nd Tl Zn
4 1 1
Direct
0.5000 0.5000 0.8615
0.5000 0.5000 0.1385
0.0000 0.0000 0.6630
0.0000 0.0000 0.3370
0.5000 0.5000 0.5000
0.0000 0.0000 0.0000


(5)
GGA-PBE Nd5Tl5Zn2, optimized geometry; volume = 333 Å³/cell; DOS(E_F) = 9.9 states/eV/f.u.; energy relative to the elements = -3.9 eV per formula unit; DFT total energy = -42.1 eV per formula unit; crystal system = monoclinic
1.0
4.7289 0.0000 1.0669
2.4968 8.2829 -0.0532
0.5208 -1.1133 8.7055
Nd Tl Zn
5 5 2
Direct
0.0000 0.5000 0.5000
0.6902 0.6905 0.9290
0.3414 0.9850 0.3322
0.6586 0.0150 0.6678
0.3098 0.3095 0.0710
0.6990 0.2488 0.3531
0.9726 0.2757 0.7791
0.0274 0.7243 0.2209
0.3010 0.7512 0.6469
0.0000 0.0000 0.0000
0.4037 0.4452 0.7475
0.5963 0.5548 0.2525


(6)
GGA-PBE Nd2TlZn, optimized geometry; volume = 110 Å³/cell; DOS(E_F) = 3.7 states/eV/f.u.; energy relative to the elements = -1.4 eV per formula unit; DFT total energy = -14.6 eV per formula unit; crystal system = tetragonal
1.0
3.7676 0.0000 0.0000
0.0000 3.7676 0.0000
0.0000 0.0000 7.7431
Tl Nd Zn
1 2 1
Direct
0.5000 0.5000 0.5000
0.0000 0.0000 0.7726
0.0000 0.0000 0.2274
0.5000 0.5000 0.0000